# 1
Entry from the Alexandria database: MnRh3O6 after structural relaxation (PBE with a Hubbard U).

a = 6.2300 Å, b = 6.2300 Å, c = 3.1359 Å
α = 90.00°, β = 90.00°, γ = 108.98°
Closest atoms and distances in Å follow each position.
Fractional coordinates of all 10 atoms:
Mn1 0.0000 0.0000 0.0000  4 O 2.15
Rh1 0.0000 0.5000 0.5000  6 O 2.01-2.10
Rh2 0.5000 0.0000 0.5000  6 O 2.01-2.10
Rh3 0.5000 0.5000 0.0000  4 O 1.93
O1 0.1449 0.8551 0.5000  2 Rh 2.10, 2 Mn 2.15
O2 0.1761 0.4445 0.0000  3 Rh 1.93-2.01
O3 0.4445 0.1761 0.0000  3 Rh 1.93-2.01
O4 0.5555 0.8239 0.0000  3 Rh 1.93-2.01
O5 0.8239 0.5555 0.0000  3 Rh 1.93-2.01
O6 0.8551 0.1449 0.5000  2 Rh 2.10, 2 Mn 2.15

Properties
size of the total moment: 4.4 μB per cell
SG: Cmmm, No. 65
E: -6.829 eV/atom

# 2
Entry from the Alexandria database: Mn2Rh2O7 after structural relaxation (PBE with a Hubbard U).

a = 7.0121 Å, b = 7.0121 Å, c = 7.0121 Å
α = 60.00°, β = 60.00°, γ = 60.00°
Closest atoms and distances in Å follow each position.
Fractional coordinates of all 22 atoms:
Mn1 0.0000 0.0000 0.0000  8 O 2.15-2.36
Mn2 0.0000 0.0000 0.5000  8 O 2.15-2.36
Mn3 0.0000 0.5000 0.0000  8 O 2.15-2.36
Mn4 0.5000 0.0000 0.0000  8 O 2.15-2.36
Rh1 0.0000 0.5000 0.5000  6 O 1.97
Rh2 0.5000 0.0000 0.5000  6 O 1.97
Rh3 0.5000 0.5000 0.0000  6 O 1.97
Rh4 0.5000 0.5000 0.5000  6 O 1.97
O1 0.1250 0.1250 0.1250  4 Mn 2.15
O2 0.1595 0.1595 0.5905  2 Rh 1.97
O3 0.1595 0.5905 0.1595  2 Rh 1.97
O4 0.1595 0.5905 0.5905  2 Rh 1.97
O5 0.4095 0.4095 0.8405  2 Rh 1.97
O6 0.4095 0.8405 0.4095  2 Rh 1.97
O7 0.4095 0.8405 0.8405  2 Rh 1.97
O8 0.5905 0.1595 0.1595  2 Rh 1.97
O9 0.5905 0.1595 0.5905  2 Rh 1.97
O10 0.5905 0.5905 0.1595  2 Rh 1.97
O11 0.8405 0.4095 0.4095  2 Rh 1.97
O12 0.8405 0.4095 0.8405  2 Rh 1.97
O13 0.8405 0.8405 0.4095  2 Rh 1.97
O14 0.8750 0.8750 0.8750  4 Mn 2.15

Properties
size of the total moment: 11.9 μB per cell
SG: Fd-3m, No. 227
E: -6.871 eV/atom

# 3
Entry from the Alexandria database: Mn3Rh4O12 after structural relaxation (PBE with a Hubbard U).

a = 6.5182 Å, b = 6.5182 Å, c = 6.5182 Å
α = 109.47°, β = 109.47°, γ = 109.47°
Closest atoms and distances in Å follow each position.
Fractional coordinates of all 19 atoms:
Mn1 0.0000 0.5000 0.5000  4 O 1.94
Mn2 0.5000 0.0000 0.5000  4 O 1.94
Mn3 0.5000 0.5000 0.0000  4 O 1.94
Rh1 0.0000 0.0000 0.5000  6 O 2.02
Rh2 0.0000 0.5000 0.0000  6 O 2.02
Rh3 0.5000 0.0000 0.0000  6 O 2.02
Rh4 0.5000 0.5000 0.5000  6 O 2.02
O1 0.1364 0.8165 0.3199  1 Mn 1.94, 2 Rh 2.02
O2 0.1835 0.3199 0.5034  1 Mn 1.94, 2 Rh 2.02
O3 0.1835 0.6801 0.8636  1 Mn 1.94, 2 Rh 2.02
O4 0.3199 0.1364 0.8165  1 Mn 1.94, 2 Rh 2.02
O5 0.3199 0.5034 0.1835  1 Mn 1.94, 2 Rh 2.02
O6 0.4966 0.8165 0.6801  1 Mn 1.94, 2 Rh 2.02
O7 0.5034 0.1835 0.3199  1 Mn 1.94, 2 Rh 2.02
O8 0.6801 0.4966 0.8165  1 Mn 1.94, 2 Rh 2.02
O9 0.6801 0.8636 0.1835  1 Mn 1.94, 2 Rh 2.02
O10 0.8165 0.3199 0.1364  1 Mn 1.94, 2 Rh 2.02
O11 0.8165 0.6801 0.4966  1 Mn 1.94, 2 Rh 2.02
O12 0.8636 0.1835 0.6801  1 Mn 1.94, 2 Rh 2.02

Properties
size of the total moment: 9.1 μB per cell
SG: Im-3, No. 204
E: -6.858 eV/atom

# 4
Entry from the Alexandria database: Mn3RhO after structural relaxation (PBE with a Hubbard U).

a = 4.2281 Å, b = 4.2281 Å, c = 4.2281 Å
α = 90.00°, β = 90.00°, γ = 90.00°
Closest atoms and distances in Å follow each position.
Fractional coordinates of all 5 atoms:
Mn1 0.0000 0.0000 0.5000  2 O 2.11
Mn2 0.0000 0.5000 0.0000  2 O 2.11
Mn3 0.5000 0.0000 0.0000  2 O 2.11
Rh1 0.5000 0.5000 0.5000  12 Mn 2.99
O1 0.0000 0.0000 0.0000  6 Mn 2.11

Properties
size of the total moment: 14.0 μB per cell
SG: Pm-3m, No. 221
E: -7.273 eV/atom
excess energy over the best structure of this formula in the dataset: 0.000 eV/atom

# 5
Entry from the Alexandria database: Mn3RhO after structural relaxation (PBE with a Hubbard U).

a = 4.8854 Å, b = 4.8854 Å, c = 4.8854 Å
α = 90.00°, β = 90.00°, γ = 90.00°
Closest atoms and distances in Å follow each position.
Fractional coordinates of all 5 atoms:
Mn1 0.0000 0.0000 0.5000  2 Rh 2.44
Mn2 0.0000 0.5000 0.0000  2 Rh 2.44
Mn3 0.5000 0.0000 0.0000  2 Rh 2.44
Rh1 0.0000 0.0000 0.0000  6 Mn 2.44
O1 0.5000 0.5000 0.5000  12 Mn 3.45

Properties
size of the total moment: 15.6 μB per cell
SG: Pm-3m, No. 221
E: -6.068 eV/atom
excess energy over the best structure of this formula in the dataset: 1.205 eV/atom

# 6
Entry from the Alexandria database: Mn2RhO after structural relaxation (PBE with a Hubbard U).

a = 6.1203 Å, b = 6.1203 Å, c = 6.6640 Å
α = 90.00°, β = 90.00°, γ = 90.00°
Closest atoms and distances in Å follow each position.
Fractional coordinates of all 16 atoms:
Mn1 0.1750 0.2500 0.1250  2 O 2.04
Mn2 0.2500 0.6750 0.3750  2 O 2.04
Mn3 0.2500 0.8250 0.8750  2 O 2.04
Mn4 0.3250 0.2500 0.6250  2 O 2.04
Mn5 0.6750 0.7500 0.6250  2 O 2.04
Mn6 0.7500 0.1750 0.8750  2 O 2.04
Mn7 0.7500 0.3250 0.3750  2 O 2.04
Mn8 0.8250 0.7500 0.1250  2 O 2.04
Rh1 0.0000 0.0000 0.5000  4 Mn 2.64
Rh2 0.0000 0.5000 0.7500  4 Mn 2.64
Rh3 0.5000 0.0000 0.2500  4 Mn 2.64
Rh4 0.5000 0.5000 0.0000  4 Mn 2.64
O1 0.0000 0.0000 0.0000  4 Mn 2.04
O2 0.0000 0.5000 0.2500  4 Mn 2.04
O3 0.5000 0.0000 0.7500  4 Mn 2.04
O4 0.5000 0.5000 0.5000  4 Mn 2.04

Properties
size of the total moment: 36.6 μB per cell
SG: I-42d, No. 122
E: -7.111 eV/atom

# 7
Entry from the Alexandria database: Mn2RuRhO after structural relaxation (PBE with a Hubbard U).

a = 4.9675 Å, b = 4.9675 Å, c = 4.5223 Å
α = 90.00°, β = 90.00°, γ = 90.00°
Closest atoms and distances in Å follow each position.
Fractional coordinates of all 5 atoms:
Mn1 0.0000 0.5000 0.0000  2 Ru 2.48
Mn2 0.5000 0.0000 0.0000  2 Ru 2.48
Ru1 0.0000 0.0000 0.0000  2 Rh 2.26, 4 Mn 2.48
Rh1 0.0000 0.0000 0.5000  2 Ru 2.26
O1 0.5000 0.5000 0.5000  8 Mn 3.36, 4 Rh 3.51

Properties
size of the total moment: 10.4 μB per cell
SG: P4/mmm, No. 123
E: -6.012 eV/atom

# 8
Entry from the Alexandria database: MnRhSO2 after structural relaxation (PBE with a Hubbard U).

a = 3.8337 Å, b = 3.8337 Å, c = 4.4799 Å
α = 90.00°, β = 90.00°, γ = 90.00°
Closest atoms and distances in Å follow each position.
Fractional coordinates of all 5 atoms:
Mn1 0.0000 0.0000 0.0000  4 Rh 2.71, 8 O 2.95
Rh1 0.5000 0.5000 0.0000  2 S 2.24
S1 0.5000 0.5000 0.5000  4 O 1.92
O1 0.0000 0.5000 0.5000  2 S 1.92
O2 0.5000 0.0000 0.5000  2 S 1.92

Properties
size of the total moment: 4.2 μB per cell
SG: P4/mmm, No. 123
E: -5.615 eV/atom

# 9
Entry from the Alexandria database: MnSbRhO6 after structural relaxation (PBE with a Hubbard U).

a = 5.2126 Å, b = 5.2126 Å, c = 9.0742 Å
α = 90.00°, β = 90.00°, γ = 120.00°
Closest atoms and distances in Å follow each position.
Fractional coordinates of all 18 atoms:
Mn1 0.0000 0.0000 0.0000  6 O 2.18
Mn2 0.0000 0.0000 0.5000  6 O 2.18
Sb1 0.3333 0.6667 0.2500  6 O 2.02
Sb2 0.6667 0.3333 0.7500  6 O 2.02
Rh1 0.3333 0.6667 0.7500  6 O 2.00
Rh2 0.6667 0.3333 0.2500  6 O 2.00
O1 0.0038 0.3535 0.6309  1 Rh 2.00, 1 Sb 2.02, 1 Mn 2.18
O2 0.0038 0.6503 0.8691  1 Rh 2.00, 1 Sb 2.02, 1 Mn 2.18
O3 0.3497 0.3535 0.8691  1 Rh 2.00, 1 Sb 2.02, 1 Mn 2.18
O4 0.3497 0.9962 0.6309  1 Rh 2.00, 1 Sb 2.02, 1 Mn 2.18
O5 0.3535 0.0038 0.1309  1 Rh 2.00, 1 Sb 2.02, 1 Mn 2.18
O6 0.3535 0.3497 0.3691  1 Rh 2.00, 1 Sb 2.02, 1 Mn 2.18
O7 0.6465 0.6503 0.6309  1 Rh 2.00, 1 Sb 2.02, 1 Mn 2.18
O8 0.6465 0.9962 0.8691  1 Rh 2.00, 1 Sb 2.02, 1 Mn 2.18
O9 0.6503 0.0038 0.3691  1 Rh 2.00, 1 Sb 2.02, 1 Mn 2.18
O10 0.6503 0.6465 0.1309  1 Rh 2.00, 1 Sb 2.02, 1 Mn 2.18
O11 0.9962 0.3497 0.1309  1 Rh 2.00, 1 Sb 2.02, 1 Mn 2.18
O12 0.9962 0.6465 0.3691  1 Rh 2.00, 1 Sb 2.02, 1 Mn 2.18

Properties
size of the total moment: 5.9 μB per cell
SG: P-31c, No. 163
E: -6.558 eV/atom

# 10
Entry from the Alexandria database: MnRhSe2O8 after structural relaxation (PBE with a Hubbard U).

a = 5.9935 Å, b = 5.9935 Å, c = 5.4437 Å
α = 90.00°, β = 90.00°, γ = 120.00°
Closest atoms and distances in Å follow each position.
Fractional coordinates of all 12 atoms:
Mn1 0.0000 0.0000 0.0000  6 O 1.97
Rh1 0.0000 0.0000 0.5000  6 O 2.02
Se1 0.3333 0.6667 0.2210  1 O 1.62
Se2 0.6667 0.3333 0.7790  1 O 1.62
O1 0.1404 0.2809 0.2443  1 Mn 1.97, 1 Se 2.01, 1 Rh 2.02
O2 0.1404 0.8596 0.2443  1 Mn 1.97, 1 Se 2.01, 1 Rh 2.02
O3 0.2809 0.1404 0.7557  1 Mn 1.97, 1 Se 2.01, 1 Rh 2.02
O4 0.3333 0.6667 0.9228  1 Se 1.62
O5 0.6667 0.3333 0.0772  1 Se 1.62
O6 0.7191 0.8596 0.2443  1 Mn 1.97, 1 Se 2.01, 1 Rh 2.02
O7 0.8596 0.1404 0.7557  1 Mn 1.97, 1 Se 2.01, 1 Rh 2.02
O8 0.8596 0.7191 0.7557  1 Mn 1.97, 1 Se 2.01, 1 Rh 2.02

Properties
size of the total moment: 2.1 μB per cell
SG: P-3m1, No. 164
E: -5.763 eV/atom

Number 1: mass density 6.6 g/cm³. Number 2: mass density 5.8 g/cm³. Number 3: mass density 6.0 g/cm³. Number 4: mass density 6.2 g/cm³. Number 5: mass density 4.0 g/cm³. Number 6: mass density 6.1 g/cm³. Number 7: mass density 4.9 g/cm³. Number 8: mass density 5.6 g/cm³. Number 9: mass density 5.8 g/cm³. Number 10: mass density 4.4 g/cm³.